Entry 1:
Sc2NiHgB: relaxed, GGA-PBE.

Cell lengths 4.7369, 4.7369, 3.8188 Å; angles 90.00, 90.00, 90.00 degrees
Closest atoms and distances in Å follow each position.
Element x y z (fractional)
Sc (0.5000, 0.0000, 0.0000)  2 B 2.37
B (0.0000, 0.0000, 0.0000)  2 Ni 1.91
Ni (0.0000, 0.0000, 0.5000)  2 B 1.91
Hg (0.5000, 0.5000, 0.5000)  8 Sc 3.04, 4 Ni 3.35
Sc (0.0000, 0.5000, 0.0000)  2 B 2.37

SG: P4/mmm, No. 123
DFT total energy, eV/atom: -5.45
Energy of formation, eV/atom: -0.36
Crystal system: tetragonal


Entry 2:
Pr5Y8Mg: relaxed, GGA-PBE.

Cell lengths 9.5249, 7.1307, 8.6359 Å; angles 101.83, 111.59, 111.70 degrees
Closest atoms and distances in Å follow each position.
Element x y z (fractional)
Y (0.9987, 0.4758, 0.3778)  6 Pr 3.55-3.85, 6 Y 3.56-3.82, 1 Mg 3.66
Pr (0.9980, 0.9707, 0.3683)  8 Y 3.55-3.78, 4 Pr 3.67-3.96, 1 Mg 3.81
Y (0.6753, 0.9549, 0.9451)  7 Y 3.53-3.85, 1 Mg 3.62, 5 Pr 3.63-3.76
Mg (0.2711, 0.4798, 0.8094)  4 Y 3.15-3.44, 1 Pr 3.51
Y (0.5474, 0.7129, 0.2440)  1 Mg 3.27, 2 Pr 3.52-3.59, 3 Y 3.55-3.65
Pr (0.8285, 0.7058, 0.6672)  8 Y 3.36-3.71, 2 Pr 3.49-3.64
Pr (0.1333, 0.2127, 0.0702)  7 Y 3.37-3.70, 3 Pr 3.53-3.73, 1 Mg 3.54
Y (0.4005, 0.4611, 0.5223)  1 Mg 3.15, 2 Pr 3.36-3.37
Pr (0.2689, 0.9684, 0.7985)  3 Pr 3.22-3.53, 2 Y 3.42-3.56, 1 Mg 3.51
Y (0.8498, 0.2159, 0.6612)  1 Mg 3.31, 4 Pr 3.42-3.58, 3 Y 3.61-3.68
Y (0.1331, 0.7136, 0.0694)  6 Pr 3.37-3.73, 1 Mg 3.44, 4 Y 3.62-3.70
Pr (0.4158, 0.9614, 0.5172)  1 Pr 3.22, 5 Y 3.37-3.53
Y (0.6774, 0.4514, 0.9444)  8 Y 3.53-3.85, 4 Pr 3.65-3.78, 1 Mg 3.71
Y (0.5522, 0.2154, 0.2549)  4 Pr 3.42-3.70, 8 Y 3.55-3.76

SG: P1, No. 1
DFT total energy, eV/atom: -5.49
Energy of formation, eV/atom: 0.02
Crystal system: triclinic